Entry 1:
VASP calculation (PBE) on an optimized crystal structure of Pt2RhBr.

Cell: 4.878 4.878 2.809 Å, 90.00 90.00 90.00°
Space group P4/mmm (No. 123)
Inequivalent atoms, fractional coordinates:
Pt 0.000 0.500 0.000
Rh 0.000 0.000 0.500
Br 0.500 0.500 0.500

## Properties
**Polymorph energy (0 for the lowest one)**: 266.9 meV/atom
**Energy relative to the elements, uncorrected**: 0.653 eV per atom


Entry 2:
VASP calculation (PBE) on an optimized crystal structure of PaAlZn.

Cell: 5.228 5.626 7.827 Å, 90.00 90.00 90.00°
Space group Imma (No. 74)
Inequivalent atoms, fractional coordinates:
Pa 0.000 0.250 0.152
Al 0.000 0.000 0.500
Zn 0.250 0.250 0.750

## Properties
**ΔE_f**: -0.60 eV per formula unit


Entry 3:
VASP calculation (PBE) on an optimized crystal structure of NbCu2Pd2.

Cell: 7.297 7.297 2.802 Å, 90.00 90.00 90.00°
Space group P4/mbm (No. 127)
Inequivalent atoms, fractional coordinates:
Nb 0.000 0.000 0.000
Cu 0.163 0.337 0.500
Pd 0.134 0.634 0.000

## Properties
**ΔE_f**: -0.02 eV per formula unit
**Polymorph energy (0 for the lowest one)**: 211.6 meV/atom


Entry 4:
VASP calculation (PBE) on an optimized crystal structure of CaTh3Co.

Cell: 5.406 5.406 5.406 Å, 90.00 90.00 90.00°
Space group Pm-3m (No. 221)
Inequivalent atoms, fractional coordinates:
Ca 0.000 0.000 0.000
Th 0.000 0.500 0.500
Co 0.500 0.500 0.500

## Properties
**ΔE_f**: 0.31 eV per formula unit


Entry 5:
VASP calculation (PBE) on an optimized crystal structure of Sm4ZnGe.

Cell: 13.908 13.908 13.908 Å, 90.00 90.00 90.00°
Space group F-43m (No. 216)
Inequivalent atoms, fractional coordinates:
Sm 0.000 0.000 0.186
Sm 0.061 0.250 0.750
Sm 0.115 0.115 0.385
Zn 0.169 0.169 0.169
Ge 0.103 0.103 0.603

## Properties
**ΔE_f**: -2.15 eV per formula unit
**Polymorph energy (0 for the lowest one)**: 0.0 meV/atom


Entry 6:
VASP calculation (PBE) on an optimized crystal structure of CuTcSeN2.

Cell: 3.776 3.776 5.090 Å, 90.00 90.00 90.00°
Space group P4/mmm (No. 123)
Inequivalent atoms, fractional coordinates:
Cu 0.000 0.000 0.000
Tc 0.500 0.500 0.500
Se 0.000 0.000 0.500
N 0.000 0.500 0.000

## Properties
**Polymorph energy (0 for the lowest one)**: 1107.4 meV/atom
**Energy relative to the elements, uncorrected**: 1.703 eV per atom


Entry 7:
VASP calculation (PBE) on an optimized crystal structure of SiTcPCl2.

Cell: 4.582 4.582 4.970 Å, 90.00 90.00 90.00°
Space group P4/mmm (No. 123)
Inequivalent atoms, fractional coordinates:
Si 0.000 0.000 0.000
Tc 0.500 0.500 0.500
P 0.000 0.000 0.500
Cl 0.000 0.500 0.000

## Properties
**Polymorph energy (0 for the lowest one)**: 159.9 meV/atom
**Energy relative to the elements, uncorrected**: 0.727 eV per atom


Entry 8:
VASP calculation (PBE) on an optimized crystal structure of OsRu3.

Cell: 8.6705 8.6705 2.6630 Å, 90.00 90.00 120.00°
Space group R-3m (No. 166, hexagonal axes)
Inequivalent atoms, fractional coordinates:
Os 0.0000 0.0000 0.0000
Ru 0.0000 0.5000 0.0000

## Properties
**ΔE_f**: 2.67 eV per formula unit


Entry 9:
VASP calculation (PBE) on an optimized crystal structure of Sm3ErPb2.

Cell: 4.618 4.618 8.749 Å, 90.00 90.00 90.00°
Space group P-4m2 (No. 115)
Inequivalent atoms, fractional coordinates:
Sm 0.000 0.000 0.000
Sm 0.000 0.500 0.656
Er 0.500 0.500 0.000
Pb 0.000 0.500 0.283

## Properties
**ΔE_f**: -2.60 eV per formula unit
**Polymorph energy (0 for the lowest one)**: 0.0 meV/atom


Entry 10:
VASP calculation (PBE) on an optimized crystal structure of NdUBr.

Cell: 5.187 17.653 3.930 Å, 90.00 90.00 90.00°
Space group Cmcm (No. 63)
Inequivalent atoms, fractional coordinates:
Nd 0.000 0.099 0.250
U 0.000 0.456 0.250
Br 0.000 0.296 0.250

## Properties
**Energy relative to the elements, uncorrected**: -0.392 eV per atom


Entry 11:
VASP calculation (PBE) on an optimized crystal structure of La4PaN4.

Cell: 5.946 5.946 11.672 Å, 90.00 90.00 90.00°
Space group I-42m (No. 121)
Inequivalent atoms, fractional coordinates:
La 0.000 0.000 0.215
La 0.000 0.500 0.000
Pa 0.000 0.000 0.500
N 0.210 0.210 0.627

## Properties
**Polymorph energy (0 for the lowest one)**: 484.7 meV/atom
**Energy relative to the elements, uncorrected**: -0.798 eV per atom


Entry 12:
VASP calculation (PBE) on an optimized crystal structure of AlAs2WSe.

Cell: 4.693 4.693 4.757 Å, 90.00 90.00 90.00°
Space group P4/mmm (No. 123)
Inequivalent atoms, fractional coordinates:
Al 0.000 0.000 0.000
As 0.000 0.500 0.000
W 0.500 0.500 0.500
Se 0.000 0.000 0.500

## Properties
**Polymorph energy (0 for the lowest one)**: 771.1 meV/atom
**Energy relative to the elements, uncorrected**: 1.281 eV per atom